# 1
## BaAgS2O6 (PBE)

Data for a relaxed structure of BaAgS2O6.

The structure in CIF format:
```
data_BaAgS2O6
_symmetry_space_group_name_H-M 'R -3'
_symmetry_Int_Tables_number 148
_symmetry_space_group_name_Hall '-R 3'
_cell_length_a 5.5917
_cell_length_b 5.5917
_cell_length_c 19.0026
_cell_angle_alpha 90.00
_cell_angle_beta 90.00
_cell_angle_gamma 120.00
loop_
_atom_site_label
_atom_site_type_symbol
_atom_site_fract_x
_atom_site_fract_y
_atom_site_fract_z
_atom_site_occupancy
Ba1 Ba 0.0000 0.0000 0.0000 1
Ag1 Ag 0.0000 0.0000 0.5000 1
S1 S 0.0000 0.0000 0.2226 1
O1 O 0.0448 0.7703 0.2513 1
```

## Properties
The raw formation energy is -1.4191 eV per atom. As for the raw total energy: -5.697 eV/atom.


# 2
## SrZr3H (PBE)

Data for a relaxed structure of SrZr3H.

The structure in CIF format:
```
data_SrZr3H
_symmetry_space_group_name_H-M 'P m -3 m'
_symmetry_Int_Tables_number 221
_symmetry_space_group_name_Hall '-P 4 2 3'
_cell_length_a 5.287
_cell_length_b 5.287
_cell_length_c 5.287
_cell_angle_alpha 90.00
_cell_angle_beta 90.00
_cell_angle_gamma 90.00
loop_
_atom_site_label
_atom_site_type_symbol
_atom_site_fract_x
_atom_site_fract_y
_atom_site_fract_z
_atom_site_occupancy
Sr1 Sr 0.000 0.000 0.000 1
Zr1 Zr 0.000 0.000 0.500 1
H1 H 0.500 0.500 0.500 1
```

## Properties
As for the raw total energy: -3.657 eV/atom.


# 3
## PmBeSn2 (PBE)

Data for a relaxed structure of PmBeSn2.

The structure in CIF format:
```
data_PmBeSn2
_symmetry_space_group_name_H-M 'P 4/m m m'
_symmetry_Int_Tables_number 123
_symmetry_space_group_name_Hall '-P 4 2'
_cell_length_a 4.550
_cell_length_b 4.550
_cell_length_c 4.460
_cell_angle_alpha 90.00
_cell_angle_beta 90.00
_cell_angle_gamma 90.00
loop_
_atom_site_label
_atom_site_type_symbol
_atom_site_fract_x
_atom_site_fract_y
_atom_site_fract_z
_atom_site_occupancy
Pm1 Pm 0.000 0.000 0.000 1
Be1 Be 0.500 0.500 0.000 1
Sn1 Sn 0.000 0.500 0.500 1
```

## Properties
For the energy of formation from the pure elements, the calculation gives -15.6 kJ per mole of atoms. As for the raw total energy: -4.282 eV/atom.


# 4
## TiBiRhO6 (PBE)

Data for a relaxed structure of TiBiRhO6.

The structure in CIF format:
```
data_TiBiRhO6
_symmetry_space_group_name_H-M 'P 3 1 2'
_symmetry_Int_Tables_number 149
_symmetry_space_group_name_Hall 'P 3 2'
_cell_length_a 5.1906
_cell_length_b 5.1906
_cell_length_c 4.9530
_cell_angle_alpha 90.00
_cell_angle_beta 90.00
_cell_angle_gamma 120.00
loop_
_atom_site_label
_atom_site_type_symbol
_atom_site_fract_x
_atom_site_fract_y
_atom_site_fract_z
_atom_site_occupancy
Ti1 Ti 0.0000 0.0000 0.0000 1
Bi1 Bi 0.3333 0.6667 0.5000 1
Rh1 Rh 0.6667 0.3333 0.0000 1
O1 O 0.3307 0.0286 0.2194 1
```

## Properties
The raw formation energy is -1.5574 eV per atom. As for the raw total energy: -6.988 eV/atom.


# 5
## Pm3Pa2Rh4 (PBE)

Data for a relaxed structure of Pm3Pa2Rh4.

The structure in CIF format:
```
data_Pm3Pa2Rh4
_symmetry_space_group_name_H-M 'C 1 2/m 1'
_symmetry_Int_Tables_number 12
_symmetry_space_group_name_Hall '-C 2y'
_cell_length_a 11.802
_cell_length_b 3.911
_cell_length_c 9.521
_cell_angle_alpha 90.00
_cell_angle_beta 98.96
_cell_angle_gamma 90.00
loop_
_atom_site_label
_atom_site_type_symbol
_atom_site_fract_x
_atom_site_fract_y
_atom_site_fract_z
_atom_site_occupancy
Pm1 Pm 0.000 0.000 0.000 1
Pm2 Pm 0.125 0.500 0.387 1
Pa1 Pa 0.183 0.500 0.781 1
Rh1 Rh 0.081 0.000 0.626 1
Rh2 Rh 0.192 0.500 0.080 1
```

## Properties
For the energy of formation from the pure elements, the calculation gives -65.6 kJ per mole of atoms. As for the raw total energy: -7.641 eV/atom.


# 6
## Co3Mo (PBE)

Data for a relaxed structure of Co3Mo.

The structure in CIF format:
```
data_Co3Mo
_symmetry_space_group_name_H-M 'I 4/m m m'
_symmetry_Int_Tables_number 139
_symmetry_space_group_name_Hall '-I 4 2'
_cell_length_a 3.608
_cell_length_b 3.608
_cell_length_c 7.205
_cell_angle_alpha 90.00
_cell_angle_beta 90.00
_cell_angle_gamma 90.00
loop_
_atom_site_label
_atom_site_type_symbol
_atom_site_fract_x
_atom_site_fract_y
_atom_site_fract_z
_atom_site_occupancy
Co1 Co 0.000 0.000 0.000 1
Co2 Co 0.000 0.500 0.250 1
Mo1 Mo 0.000 0.000 0.500 1
```

## Properties
For the energy of formation from the pure elements, the calculation gives 1.2 kJ per mole of atoms. As for the raw total energy: -8.025 eV/atom.


What is the raw total energy in the second record?
-3.657 eV/atom